5
Lattice="5.002 0.000 0.000 0.000 5.002 0.000 0.000 0.000 5.002" Properties=species:S:1:pos:R:3 comment="PBE with a Hubbard U NiBi3F, optimized geometry" de_polymorph_mev_per_atom=156.4 e_tot_ry_per_atom=-0.2115 space_group="No. 221" pbc="T T T"
Ni 0.000 0.000 0.000
Bi 0.000 2.501 2.501
Bi 2.501 0.000 2.501
Bi 2.501 2.501 0.000
F 2.501 2.501 2.501